Density functional theory data (GGA-PBE) for a relaxed Sm3CoNi crystal.

Calculated values
Its crystal system is orthorhombic. The space-group type is Pmmn (59). The formation energy comes out at -166.9 meV/atom.

a = 3.840 Å, b = 6.379 Å, c = 9.669 Å
α = 90.01°, β = 90.00°, γ = 90.00°
Atoms (fractional coordinates):
Sm 0.250 0.755 0.561
Sm 0.250 0.243 0.750
Sm 0.250 0.755 0.939
Sm 0.750 0.245 0.439
Sm 0.750 0.245 0.061
Sm 0.750 0.757 0.250
Co 0.250 0.064 0.250
Co 0.750 0.936 0.750
Ni 0.750 0.559 0.750
Ni 0.250 0.441 0.250



Density functional theory data (GGA-PBE) for a relaxed La8AsN4 crystal.

Calculated values
Its crystal system is cubic. The space-group type is F-43m (216).

a = 7.878 Å, b = 7.878 Å, c = 7.878 Å
α = 60.00°, β = 60.00°, γ = 60.00°
Atoms (fractional coordinates):
La 0.577 0.141 0.141
La 0.141 0.577 0.141
La 0.141 0.141 0.577
La 0.141 0.141 0.141
La 0.181 0.606 0.606
La 0.606 0.181 0.606
La 0.606 0.606 0.181
La 0.606 0.606 0.606
As 0.750 0.750 0.750
N 0.884 0.372 0.372
N 0.372 0.884 0.372
N 0.372 0.372 0.884
N 0.372 0.372 0.372



| no. | total DFT energy (no corrections) (eV/atom) |
| --- | --- |
| 1 | -5.576 |
| 2 | -6.837 |